Compound: BiTe8Pt4
Source: the Alexandria database
Functional: GGA-PBE
Structure: relaxed

abc: 8.1461 8.1461 8.6308
angles: 61.84 61.84 60.00
Last column: nearest neighbours and their distance in Å.
Positions (direct):
Bi  0.5000  0.5000  0.5000  6 Te 3.22
Te  0.7266  0.2326  0.8083  3 Pt 2.72-2.75
Te  0.7674  0.2734  0.1917  3 Pt 2.72-2.75
Te  0.2734  0.7674  0.1917  3 Pt 2.72-2.75
Te  0.7674  0.7674  0.1917  3 Pt 2.72-2.75
Te  0.7300  0.7300  0.8099  3 Pt 2.72
Te  0.2700  0.2700  0.1901  3 Pt 2.72
Te  0.2326  0.2326  0.8083  3 Pt 2.72-2.75
Te  0.2326  0.7266  0.8083  3 Pt 2.72-2.75
Pt  0.0000  0.5000  0.0000  6 Te 2.72
Pt  0.5000  0.5000  0.0000  6 Te 2.72
Pt  0.5000  0.0000  0.0000  6 Te 2.72
Pt  0.0000  0.0000  0.0000  6 Te 2.75

Output
The value obtained for the total energy is -0.16130 hartree per atom. As for the uncorrected formation energy: -0.30 eV per atom.